VASP calculation (PBE) on Sc2Ga4NiPt after structural relaxation.

Unit cell a=6.571 b=4.143 c=9.723 alpha=90.00 beta=90.00 gamma=90.00
Fractional positions:
Sc 0.000 0.000 0.000
Sc 0.000 0.500 0.500
Sc 0.500 0.000 0.156
Sc 0.500 0.500 0.656
Ga 0.211 0.000 0.714
Ga 0.211 0.500 0.214
Ga 0.307 0.000 0.447
Ga 0.307 0.500 0.947
Ga 0.693 0.000 0.447
Ga 0.693 0.500 0.947
Ga 0.789 0.000 0.714
Ga 0.789 0.500 0.214
Ni 0.500 0.000 0.875
Ni 0.500 0.500 0.375
Pt 0.000 0.000 0.286
Pt 0.000 0.500 0.786

Calculated values
uncorrected energy = -84.86 eV for the cell shown
V = 16.54 A^3/atom
space group = Amm2, No. 38

---

VASP calculation (PBE) on Rb3SmBr6 after structural relaxation.

Unit cell a=8.137 b=8.663 c=13.986 alpha=90.00 beta=124.10 gamma=90.00
Fractional positions:
Rb 0.000 0.000 0.000
Rb 0.000 0.500 0.500
Rb 0.213 0.075 0.742
Rb 0.213 0.425 0.242
Rb 0.787 0.575 0.758
Rb 0.787 0.925 0.258
Sm 0.500 0.000 0.500
Sm 0.500 0.500 0.000
Br 0.161 0.179 0.444
Br 0.161 0.321 0.944
Br 0.257 0.726 0.423
Br 0.257 0.774 0.923
Br 0.403 0.056 0.272
Br 0.403 0.444 0.772
Br 0.597 0.556 0.228
Br 0.597 0.944 0.728
Br 0.743 0.226 0.077
Br 0.743 0.274 0.577
Br 0.839 0.679 0.056
Br 0.839 0.821 0.556

Calculated values
uncorrected energy = -72.07 eV for the cell shown
V = 40.81 A^3/atom
space group = P2_1/c, No. 14

---

VASP calculation (PBE) on LuZnGe2 after structural relaxation.

Unit cell a=6.840 b=6.840 c=6.840 alpha=90.00 beta=90.00 gamma=90.00
Fractional positions:
Lu 0.000 0.000 0.000
Lu 0.000 0.500 0.500
Lu 0.500 0.000 0.500
Lu 0.500 0.500 0.000
Zn 0.250 0.250 0.750
Zn 0.250 0.750 0.250
Zn 0.750 0.250 0.250
Zn 0.750 0.750 0.750
Ge 0.000 0.000 0.500
Ge 0.000 0.500 0.000
Ge 0.250 0.250 0.250
Ge 0.250 0.750 0.750
Ge 0.500 0.000 0.000
Ge 0.500 0.500 0.500
Ge 0.750 0.250 0.750
Ge 0.750 0.750 0.250

Calculated values
uncorrected energy = -61.50 eV for the cell shown
V = 20.00 A^3/atom
space group = F-43m, No. 216